{"formula": "Tb4Al5Ge6", "functional": "PBE", "state": "optimized geometry", "dos_ef_per_ev_fu": 5.49, "m_tot_mub_per_fu": 0.0, "formation_energy_ev_per_atom": -0.469, "lattice": [[2.076, -9.976, 0.000], [2.076, 9.976, 0.000], [0.000, 0.000, 15.241]], "species": ["Tb", "Tb", "Tb", "Tb", "Tb", "Tb", "Tb", "Tb", "Al", "Al", "Al", "Al", "Al", "Al", "Al", "Al", "Al", "Al", "Ge", "Ge", "Ge", "Ge", "Ge", "Ge", "Ge", "Ge", "Ge", "Ge", "Ge", "Ge"], "frac_coords": [[0.014, 0.986, 0.500], [0.034, 0.966, 0.774], [0.169, 0.831, 0.315], [0.181, 0.819, 0.952], [0.819, 0.181, 0.452], [0.831, 0.169, 0.815], [0.966, 0.034, 0.274], [0.986, 0.014, 0.000], [0.147, 0.853, 0.633], [0.308, 0.692, 0.628], [0.343, 0.657, 0.284], [0.354, 0.646, 0.986], [0.436, 0.564, 0.699], [0.564, 0.436, 0.199], [0.646, 0.354, 0.486], [0.657, 0.343, 0.784], [0.692, 0.308, 0.128], [0.853, 0.147, 0.133], [0.106, 0.894, 0.122], [0.219, 0.781, 0.500], [0.229, 0.771, 0.763], [0.422, 0.578, 0.415], [0.434, 0.566, 0.132], [0.439, 0.561, 0.863], [0.561, 0.439, 0.363], [0.566, 0.434, 0.632], [0.578, 0.422, 0.915], [0.771, 0.229, 0.263], [0.781, 0.219, 0.000], [0.894, 0.106, 0.622]]}